DFT (GGA-PBE) results for crystalline CsPaAsO at its relaxed geometry.

abc: 4.0343 7.9735 8.3341
angles: 90.00 90.00 90.00
With the nearest neighbours (Å) after each atom.
Fractional positions:
1 Pa 0.0000 0.8340 0.9735  2 O 2.24
2 Pa 0.0000 0.1660 0.4735  2 O 2.24
3 As 0.0000 0.1296 0.8013  2 Pa 2.75-2.76
4 As 0.0000 0.8704 0.3013  2 Pa 2.75-2.76
5 O 0.5000 0.2761 0.4211  2 Pa 2.24
6 O 0.5000 0.7239 0.9211  2 Pa 2.24
7 Cs 0.5000 0.3603 0.0582  2 O 3.10-3.12
8 Cs 0.5000 0.6397 0.5582  2 O 3.10-3.12

## Properties
total moment	2.00	μB per cell
uncorrected energy	-23.7	eV per formula unit
ΔE to the lowest computed polymorph	180	meV/atom

=====

DFT (GGA-PBE) results for crystalline CsPaAsO at its relaxed geometry.

abc: 4.4634 9.0525 7.1896
angles: 90.00 90.00 90.00
With the nearest neighbours (Å) after each atom.
Fractional positions:
1 Cs 0.0000 0.3379 0.9495  2 O 3.25, 2 As 3.53-3.61
2 Cs 0.0000 0.6621 0.4495  2 O 3.25, 2 As 3.53-3.61
3 Pa 0.5000 0.9049 0.0330  2 O 2.18-2.21
4 Pa 0.5000 0.0951 0.5330  2 O 2.18-2.21
5 O 0.5000 0.0915 0.8407  2 Pa 2.18-2.21
6 O 0.5000 0.9085 0.3407  2 Pa 2.18-2.21
7 As 0.0000 0.7368 0.9309  2 Pa 2.80
8 As 0.0000 0.2632 0.4309  2 Pa 2.80

## Properties
total moment	2.00	μB per cell
uncorrected energy	-24.4	eV per formula unit
ΔE to the lowest computed polymorph	0	meV/atom

=====

DFT (GGA-PBE) results for crystalline CsPaAsO at its relaxed geometry.

abc: 4.4622 4.4622 10.0590
angles: 90.00 90.00 90.00
With the nearest neighbours (Å) after each atom.
Fractional positions:
1 O 0.0000 0.0000 0.0000  4 Pa 2.42
2 O 0.5000 0.5000 0.0000  4 Pa 2.42
3 Cs 0.0000 0.0000 0.5000  4 Cs 3.16, 4 As 3.49
4 Cs 0.5000 0.5000 0.5000  4 Cs 3.16, 4 As 3.49
5 As 0.0000 0.5000 0.2331  4 O 3.24, 5 Pa 3.28-3.46, 4 Cs 3.49
6 As 0.5000 0.0000 0.7669  4 O 3.24, 5 Pa 3.28-3.46, 4 Cs 3.49
7 Pa 0.5000 0.0000 0.0929  4 O 2.42
8 Pa 0.0000 0.5000 0.9071  4 O 2.42

## Properties
total moment	2.00	μB per cell
uncorrected energy	-23.4	eV per formula unit
ΔE to the lowest computed polymorph	249	meV/atom

=====

DFT (GGA-PBE) results for crystalline CsAsPdO at its relaxed geometry.

abc: 4.2186 4.2186 11.8419
angles: 90.00 90.00 90.00
With the nearest neighbours (Å) after each atom.
Fractional positions:
1 As 0.5000 0.0000 0.6105  4 Pd 2.48
2 As 0.0000 0.5000 0.3895  4 Pd 2.48
3 O 0.0000 0.0000 0.0000  4 Cs 2.81, 4 O 2.98
4 O 0.5000 0.5000 0.0000  4 Cs 2.81, 4 O 2.98
5 Cs 0.5000 0.0000 0.1567  4 O 2.81
6 Cs 0.0000 0.5000 0.8433  4 O 2.81
7 Pd 0.5000 0.5000 0.5000  4 As 2.48
8 Pd 0.0000 0.0000 0.5000  4 As 2.48

## Properties
uncorrected energy	-16.4	eV per formula unit
ΔE to the lowest computed polymorph	274	meV/atom

=====

DFT (GGA-PBE) results for crystalline Cs2As4Pd3O14 at its relaxed geometry.

abc: 16.2220 16.2220 5.8693
angles: 90.00 90.00 90.00
With the nearest neighbours (Å) after each atom.
Fractional positions:
1 O 0.1774 0.8502 0.9859  1 As 1.72
2 O 0.7398 0.9655 0.0424  2 As 1.78-1.79
3 O 0.9655 0.2602 0.9576  2 As 1.78-1.79
4 O 0.0846 0.4050 0.8610  1 As 1.72
5 O 0.9672 0.1192 0.7422  1 As 1.71
6 O 0.1705 0.6902 0.2060  1 As 1.72
7 O 0.4154 0.0950 0.1390  1 As 1.72
8 O 0.9050 0.4154 0.8610  1 As 1.72
9 O 0.4824 0.8754 0.6932  1 As 1.72
10 O 0.0950 0.5846 0.8610  1 As 1.72
11 O 0.6192 0.5328 0.7422  1 As 1.71
12 O 0.1230 0.0323 0.7553  1 As 1.71
13 O 0.4655 0.7602 0.0424  2 As 1.78-1.79
14 O 0.6774 0.3502 0.0141  1 As 1.72
15 O 0.0323 0.8770 0.2447  1 As 1.71
16 O 0.2602 0.0345 0.0424  2 As 1.78-1.79
17 O 0.3754 0.0176 0.6932  1 As 1.72
18 O 0.0176 0.6246 0.3068  1 As 1.72
19 O 0.6705 0.1902 0.7940  1 As 1.72
20 O 0.8808 0.9672 0.2578  1 As 1.71
21 O 0.9154 0.5950 0.8610  1 As 1.72
22 O 0.3098 0.1705 0.7940  1 As 1.72
23 O 0.3808 0.4672 0.7422  1 As 1.71
24 O 0.8770 0.9676 0.7553  1 As 1.71
25 O 0.3770 0.4676 0.2447  1 As 1.71
26 O 0.0345 0.7398 0.9576  2 As 1.78-1.79
27 O 0.5345 0.2398 0.0424  2 As 1.78-1.79
28 O 0.8295 0.3098 0.2060  1 As 1.72
29 O 0.1498 0.1774 0.0141  1 As 1.72
30 O 0.2398 0.4655 0.9576  2 As 1.78-1.79
31 O 0.4050 0.9154 0.1390  1 As 1.72
32 O 0.9676 0.1230 0.2447  1 As 1.71
33 O 0.3226 0.6498 0.0141  1 As 1.72
34 O 0.8502 0.8226 0.0141  1 As 1.72
35 O 0.6498 0.6774 0.9859  1 As 1.72
36 O 0.4672 0.6192 0.2578  1 As 1.71
37 O 0.5950 0.0846 0.1390  1 As 1.72
38 O 0.8098 0.6705 0.2060  1 As 1.72
39 O 0.8754 0.5176 0.3068  1 As 1.72
40 O 0.1246 0.4824 0.3068  1 As 1.72
41 O 0.8226 0.1498 0.9859  1 As 1.72
42 O 0.5176 0.1246 0.6932  1 As 1.72
43 O 0.5846 0.9050 0.1390  1 As 1.72
44 O 0.5324 0.3770 0.7553  1 As 1.71
45 O 0.9824 0.3754 0.3068  1 As 1.72
46 O 0.6902 0.8295 0.7940  1 As 1.72
47 O 0.0328 0.8808 0.7422  1 As 1.71
48 O 0.7602 0.5345 0.9576  2 As 1.78-1.79
49 O 0.4676 0.6230 0.7553  1 As 1.71
50 O 0.5328 0.3808 0.2578  1 As 1.71
51 O 0.1902 0.3295 0.2060  1 As 1.72
52 O 0.6230 0.5324 0.2447  1 As 1.71
53 O 0.3295 0.8098 0.7940  1 As 1.72
54 O 0.3502 0.3226 0.9859  1 As 1.72
55 O 0.1192 0.0328 0.2578  1 As 1.71
56 O 0.6246 0.9824 0.6932  1 As 1.72
57 Pd 0.2500 0.7500 0.0000  4 O 2.01-2.02
58 Pd 0.0000 0.5000 0.3248  4 O 2.04
59 Pd 0.5000 0.0000 0.1574  4 O 2.07
60 Pd 0.2500 0.2500 0.0000  4 O 2.01-2.02
61 Pd 0.0000 0.0000 0.2476  4 O 2.01-2.06
62 Pd 0.0000 0.5000 0.8426  4 O 2.07
63 Pd 0.5000 0.5000 0.7524  4 O 2.01-2.06
64 Pd 0.5000 0.0000 0.6752  4 O 2.04
65 Pd 0.0000 0.0000 0.7524  4 O 2.01-2.06
66 Pd 0.5000 0.5000 0.2476  4 O 2.01-2.06
67 Pd 0.7500 0.7500 0.0000  4 O 2.01-2.02
68 Pd 0.7500 0.2500 0.0000  4 O 2.01-2.02
69 As 0.9180 0.3488 0.0858  4 O 1.72-1.79
70 As 0.4281 0.6575 0.0085  4 O 1.71-1.78
71 As 0.5719 0.3425 0.0085  4 O 1.71-1.78
72 As 0.1512 0.4180 0.0858  4 O 1.72-1.79
73 As 0.1575 0.0719 0.0085  4 O 1.71-1.78
74 As 0.6512 0.9180 0.9142  4 O 1.72-1.79
75 As 0.8488 0.5820 0.0858  4 O 1.72-1.79
76 As 0.3425 0.4281 0.9915  4 O 1.71-1.78
77 As 0.0719 0.8425 0.9915  4 O 1.71-1.78
78 As 0.4180 0.8488 0.9142  4 O 1.72-1.79
79 As 0.8425 0.9281 0.0085  4 O 1.71-1.78
80 As 0.6575 0.5719 0.9915  4 O 1.71-1.78
81 As 0.0820 0.6512 0.0858  4 O 1.72-1.79
82 As 0.3488 0.0820 0.9142  4 O 1.72-1.79
83 As 0.5820 0.1512 0.9142  4 O 1.72-1.79
84 As 0.9281 0.1575 0.9915  4 O 1.71-1.78
85 Cs 0.4130 0.2643 0.4699  6 O 2.96-3.22
86 Cs 0.2357 0.9130 0.4699  6 O 2.96-3.22
87 Cs 0.5870 0.7357 0.4699  6 O 2.96-3.22
88 Cs 0.2643 0.5870 0.5301  6 O 2.96-3.22
89 Cs 0.0870 0.2357 0.5301  6 O 2.96-3.22
90 Cs 0.7643 0.0870 0.4699  6 O 2.96-3.22
91 Cs 0.9130 0.7643 0.5301  6 O 2.96-3.22
92 Cs 0.7357 0.4130 0.5301  6 O 2.96-3.22

## Properties
uncorrected energy	-130.8	eV per formula unit

=====

DFT (GGA-PBE) results for crystalline CsAsPdO at its relaxed geometry.

abc: 4.3576 8.7876 5.5127
angles: 90.00 90.00 90.00
With the nearest neighbours (Å) after each atom.
Fractional positions:
1 As 0.0000 0.0863 0.3843  4 Pd 2.61-2.77
2 As 0.0000 0.9137 0.8843  4 Pd 2.61-2.77
3 Cs 0.0000 0.3479 0.9095  2 O 2.68
4 Cs 0.0000 0.6521 0.4095  2 O 2.68
5 O 0.5000 0.8261 0.3540  2 Pd 2.06
6 O 0.5000 0.1739 0.8540  2 Pd 2.06
7 Pd 0.5000 0.9992 0.6062  2 O 2.06
8 Pd 0.5000 0.0008 0.1062  2 O 2.06

## Properties
uncorrected energy	-17.5	eV per formula unit
ΔE to the lowest computed polymorph	0	meV/atom

=====

DFT (GGA-PBE) results for crystalline CsAsPdO at its relaxed geometry.

abc: 4.8020 4.8020 7.5656
angles: 90.00 90.00 90.00
With the nearest neighbours (Å) after each atom.
Fractional positions:
1 Pd 0.7500 0.7500 0.7299  1 As 2.37
2 Pd 0.2500 0.2500 0.2701  1 As 2.37
3 As 0.2500 0.2500 0.9570  1 Pd 2.37, 4 O 2.42
4 As 0.7500 0.7500 0.0430  1 Pd 2.37, 4 O 2.42
5 O 0.2500 0.7500 0.0000  4 As 2.42
6 O 0.7500 0.2500 0.0000  4 As 2.42
7 Cs 0.7500 0.2500 0.5000  4 Pd 2.96
8 Cs 0.2500 0.7500 0.5000  4 Pd 2.96

## Properties
uncorrected energy	-14.5	eV per formula unit
ΔE to the lowest computed polymorph	758	meV/atom

=====

DFT (GGA-PBE) results for crystalline CsAsPdO at its relaxed geometry.

abc: 3.8328 8.6676 5.7645
angles: 90.00 90.00 90.00
With the nearest neighbours (Å) after each atom.
Fractional positions:
1 O 0.5000 0.6926 0.9971  2 Pd 2.00
2 O 0.5000 0.3074 0.4971  2 Pd 2.00
3 Cs 0.5000 0.6599 0.4988  3 O 2.89-3.06
4 Cs 0.5000 0.3401 0.9988  3 O 2.89-3.06
5 As 0.0000 0.0020 0.7601  2 Pd 2.51-2.56
6 As 0.0000 0.9980 0.2601  2 Pd 2.51-2.56
7 Pd 0.0000 0.2399 0.4980  2 O 2.00
8 Pd 0.0000 0.7601 0.9980  2 O 2.00

## Properties
uncorrected energy	-17.2	eV per formula unit
ΔE to the lowest computed polymorph	92	meV/atom

=====

DFT (GGA-PBE) results for crystalline CsAsPtO at its relaxed geometry.

abc: 4.7083 4.7082 9.0402
angles: 90.00 90.00 90.00
With the nearest neighbours (Å) after each atom.
Fractional positions:
1 O 0.2500 0.7500 0.0000  4 As 2.36
2 O 0.7500 0.2500 0.0000  4 As 2.36
3 Pt 0.2500 0.2500 0.2656  1 As 2.30
4 Pt 0.7500 0.7500 0.7344  1 As 2.30
5 As 0.7500 0.7500 0.9892  1 Pt 2.30, 4 O 2.36
6 As 0.2500 0.2500 0.0108  1 Pt 2.30, 4 O 2.36
7 Cs 0.2500 0.7500 0.5000  4 Pt 3.17, 4 Cs 3.33
8 Cs 0.7500 0.2500 0.5000  4 Pt 3.17, 4 Cs 3.33

## Properties
total moment	0.00	μB per cell
uncorrected energy	-15.5	eV per formula unit
ΔE to the lowest computed polymorph	654	meV/atom

=====

DFT (GGA-PBE) results for crystalline CsAsPtO at its relaxed geometry.

abc: 3.8312 6.3355 8.2840
angles: 90.00 90.00 90.00
With the nearest neighbours (Å) after each atom.
Fractional positions:
1 As 0.0000 0.8463 0.2542  2 Pt 2.40-2.49
2 As 0.0000 0.1537 0.7542  2 Pt 2.40-2.49
3 Pt 0.0000 0.8811 0.9549  2 O 1.99
4 Pt 0.0000 0.1189 0.4549  2 O 1.99
5 O 0.5000 0.7991 0.9401  2 Pt 1.99
6 O 0.5000 0.2008 0.4401  2 Pt 1.99
7 Cs 0.5000 0.3642 0.1047  2 O 2.96-3.07
8 Cs 0.5000 0.6358 0.6047  2 O 2.96-3.07

## Properties
total moment	1.06	μB per cell
uncorrected energy	-18.1	eV per formula unit
ΔE to the lowest computed polymorph	0	meV/atom